# Ac8Ni3I4Cl

An optimized crystal structure of Ac8Ni3I4Cl (PBE, Alexandria).

Summary:
* calculated volume: 569.1 Å³/cell
* formation energy without anion corrections: -0.82 eV/atom
* Fermi-level density of states: 0.9400 states/eV per atom
* SG: R-3m (166)
* density: 7.40 Mg/m³

Unit cell a=8.776 b=9.922 c=8.776 alpha=116.24 beta=120.00 gamma=90.00
Fractional coordinates of all 16 atoms:
Ac 0.240 0.693 0.953
Ac 0.240 0.693 0.481
Ac 0.273 0.320 0.547
Ac 0.712 0.693 0.953
Ac 0.288 0.307 0.047
Ac 0.727 0.680 0.453
Ac 0.760 0.307 0.519
Ac 0.760 0.307 0.047
Ni 0.500 0.500 0.000
Ni 0.500 0.500 0.500
Ni 0.000 0.500 0.500
I 0.500 0.000 0.000
I 0.500 0.000 0.500
I 0.000 0.000 0.000
I 0.000 0.000 0.500
Cl 0.000 0.500 0.000

# Ac3ICl2O6

An optimized crystal structure of Ac3ICl2O6 (PBE, Alexandria).

Summary:
* calculated volume: 260.5 Å³/cell
* formation energy without anion corrections: -1.99 eV/atom
* Fermi-level density of states: 0.0000 states/eV per atom
* SG: C2/m (12)
* density: 6.21 Mg/m³

Unit cell a=5.803 b=7.178 c=7.271 alpha=119.58 beta=82.58 gamma=90.00
Fractional coordinates of all 12 atoms:
Ac 0.000 0.500 0.000
Ac 0.500 0.500 0.500
Ac 0.500 0.000 0.500
I 0.500 0.000 0.000
Cl 0.119 0.714 0.428
Cl 0.881 0.286 0.572
O 0.698 0.301 0.121
O 0.302 0.699 0.879
O 0.664 0.843 0.685
O 0.336 0.157 0.315
O 0.302 0.180 0.879
O 0.698 0.820 0.121

Repeat the first record exactly.
# Ac8Ni3I4Cl

An optimized crystal structure of Ac8Ni3I4Cl (PBE, Alexandria).

Summary:
* calculated volume: 569.1 Å³/cell
* formation energy without anion corrections: -0.82 eV/atom
* Fermi-level density of states: 0.9400 states/eV per atom
* SG: R-3m (166)
* density: 7.40 Mg/m³

Unit cell a=8.776 b=9.922 c=8.776 alpha=116.24 beta=120.00 gamma=90.00
Fractional coordinates of all 16 atoms:
Ac 0.240 0.693 0.953
Ac 0.240 0.693 0.481
Ac 0.273 0.320 0.547
Ac 0.712 0.693 0.953
Ac 0.288 0.307 0.047
Ac 0.727 0.680 0.453
Ac 0.760 0.307 0.519
Ac 0.760 0.307 0.047
Ni 0.500 0.500 0.000
Ni 0.500 0.500 0.500
Ni 0.000 0.500 0.500
I 0.500 0.000 0.000
I 0.500 0.000 0.500
I 0.000 0.000 0.000
I 0.000 0.000 0.500
Cl 0.000 0.500 0.000

Which value of Fermi-level density of states does entry 1 give?
0.9400 states/eV per atom